(1)
# Ba6TlNi2 | the Alexandria database | GGA-PBE | relaxed
# Energy relative to the elements, meV per atom: -60
# Fermi-level density of states, states/eV/f.u.: 10.24
# Energy, eV per atom: -2.89
# Magnetization, μB per cell: 0.0
data_Ba6TlNi2
_cell_length_a 10.7969
_cell_length_b 11.5085
_cell_length_c 11.8143
_cell_angle_alpha 90.00
_cell_angle_beta 90.00
_cell_angle_gamma 90.00
_symmetry_space_group_name_H-M 'I m m m'
_symmetry_Int_Tables_number 71
_symmetry_space_group_name_Hall '-I 2 2'
loop_
_atom_site_label
_atom_site_type_symbol
_atom_site_fract_x
_atom_site_fract_y
_atom_site_fract_z
_atom_site_occupancy
Ba1 Ba 0.0000 0.2058 0.2214 1
Ba2 Ba 0.1969 0.5000 0.1762 1
Ba3 Ba 0.2039 0.3220 0.5000 1
Tl1 Tl 0.0000 0.0000 0.0000 1
Tl2 Tl 0.0000 0.0000 0.5000 1
Ni1 Ni 0.0000 0.3977 0.0000 1
Ni2 Ni 0.0000 0.5000 0.3999 1


(2)
# Ba3TlNi | the Alexandria database | GGA-PBE | relaxed
# Energy relative to the elements, meV per atom: -144
# Fermi-level density of states, states/eV/f.u.: 4.68
# Energy, eV per atom: -2.93
# Magnetization, μB per cell: 0.4
data_Ba3TlNi
_cell_length_a 4.3931
_cell_length_b 9.8957
_cell_length_c 10.0501
_cell_angle_alpha 85.71
_cell_angle_beta 90.00
_cell_angle_gamma 77.18
_symmetry_space_group_name_H-M 'P 1'
_symmetry_Int_Tables_number 1
_symmetry_space_group_name_Hall 'P 1'
loop_
_atom_site_label
_atom_site_type_symbol
_atom_site_fract_x
_atom_site_fract_y
_atom_site_fract_z
_atom_site_occupancy
Ba1 Ba 0.0000 0.0000 0.0000 1
Ba2 Ba 0.0957 0.8090 0.6348 1
Ba3 Ba 0.2898 0.4201 0.0292 1
Ba4 Ba 0.4362 0.1263 0.3689 1
Ba5 Ba 0.6576 0.6839 0.2661 1
Ba6 Ba 0.8049 0.3894 0.6065 1
Tl1 Tl 0.4491 0.1019 0.7355 1
Tl2 Tl 0.6467 0.7071 0.8994 1
Ni1 Ni 0.2803 0.4371 0.3448 1
Ni2 Ni 0.8121 0.3736 0.2911 1


(3)
# BaTlNi | the Alexandria database | GGA-PBE | relaxed
# Energy relative to the elements, meV per atom: 64
# Fermi-level density of states, states/eV/f.u.: 1.86
# Energy, eV per atom: -3.29
# Magnetization, μB per cell: 0.0
data_BaTlNi
_cell_length_a 3.6466
_cell_length_b 3.6466
_cell_length_c 12.0459
_cell_angle_alpha 90.00
_cell_angle_beta 90.00
_cell_angle_gamma 90.00
_symmetry_space_group_name_H-M 'I 4 m m'
_symmetry_Int_Tables_number 107
_symmetry_space_group_name_Hall 'I 4 -2'
loop_
_atom_site_label
_atom_site_type_symbol
_atom_site_fract_x
_atom_site_fract_y
_atom_site_fract_z
_atom_site_occupancy
Ba1 Ba 0.0000 0.0000 0.0000 1
Tl1 Tl 0.0000 0.0000 0.7188 1
Ni1 Ni 0.0000 0.0000 0.3095 1


(4)
# BaTl2Ni | the Alexandria database | GGA-PBE | relaxed
# Energy relative to the elements, meV per atom: -5
# Fermi-level density of states, states/eV/f.u.: 2.93
# Energy, eV per atom: -3.11
# Magnetization, μB per cell: 0.0
data_BaTl2Ni
_cell_length_a 3.9087
_cell_length_b 4.9645
_cell_length_c 12.0732
_cell_angle_alpha 90.00
_cell_angle_beta 90.00
_cell_angle_gamma 90.00
_symmetry_space_group_name_H-M 'A m m 2'
_symmetry_Int_Tables_number 38
_symmetry_space_group_name_Hall 'A 2 -2'
loop_
_atom_site_label
_atom_site_type_symbol
_atom_site_fract_x
_atom_site_fract_y
_atom_site_fract_z
_atom_site_occupancy
Ba1 Ba 0.0000 0.0000 0.0000 1
Tl1 Tl 0.0000 0.0000 0.2962 1
Tl2 Tl 0.5000 0.0000 0.6833 1
Ni1 Ni 0.5000 0.0000 0.4563 1


(5)
# BaTl2Ni | the Alexandria database | GGA-PBE | relaxed
# Energy relative to the elements, meV per atom: 36
# Fermi-level density of states, states/eV/f.u.: 2.83
# Energy, eV per atom: -3.07
# Magnetization, μB per cell: 0.0
data_BaTl2Ni
_cell_length_a 3.5897
_cell_length_b 3.5897
_cell_length_c 8.1204
_cell_angle_alpha 90.00
_cell_angle_beta 90.00
_cell_angle_gamma 90.00
_symmetry_space_group_name_H-M 'P 4/m m m'
_symmetry_Int_Tables_number 123
_symmetry_space_group_name_Hall '-P 4 2'
loop_
_atom_site_label
_atom_site_type_symbol
_atom_site_fract_x
_atom_site_fract_y
_atom_site_fract_z
_atom_site_occupancy
Ba1 Ba 0.0000 0.0000 0.0000 1
Tl1 Tl 0.5000 0.5000 0.3155 1
Ni1 Ni 0.0000 0.0000 0.5000 1


(6)
# BaTl2Ni | the Alexandria database | GGA-PBE | relaxed
# Energy relative to the elements, meV per atom: -60
# Fermi-level density of states, states/eV/f.u.: 4.71
# Energy, eV per atom: -3.17
# Magnetization, μB per cell: 0.0
data_BaTl2Ni
_cell_length_a 4.5722
_cell_length_b 4.5722
_cell_length_c 19.4793
_cell_angle_alpha 90.00
_cell_angle_beta 90.00
_cell_angle_gamma 120.00
_symmetry_space_group_name_H-M 'R -3 m'
_symmetry_Int_Tables_number 166
_symmetry_space_group_name_Hall '-R 3 2"'
loop_
_atom_site_label
_atom_site_type_symbol
_atom_site_fract_x
_atom_site_fract_y
_atom_site_fract_z
_atom_site_occupancy
Ba1 Ba 0.0000 0.0000 0.0000 1
Tl1 Tl 0.0000 0.0000 0.2128 1
Ni1 Ni 0.0000 0.0000 0.5000 1


(7)
# Ba2TlNi2 | the Alexandria database | GGA-PBE | relaxed
# Energy relative to the elements, meV per atom: 120
# Fermi-level density of states, states/eV/f.u.: 5.11
# Energy, eV per atom: -3.43
# Magnetization, μB per cell: 0.5
data_Ba2TlNi2
_cell_length_a 3.6180
_cell_length_b 3.6180
_cell_length_c 21.0802
_cell_angle_alpha 90.00
_cell_angle_beta 90.00
_cell_angle_gamma 90.00
_symmetry_space_group_name_H-M 'I 4/m m m'
_symmetry_Int_Tables_number 139
_symmetry_space_group_name_Hall '-I 4 2'
loop_
_atom_site_label
_atom_site_type_symbol
_atom_site_fract_x
_atom_site_fract_y
_atom_site_fract_z
_atom_site_occupancy
Ba1 Ba 0.0000 0.0000 0.1293 1
Tl1 Tl 0.0000 0.0000 0.5000 1
Ni1 Ni 0.0000 0.5000 0.2500 1


(8)
# BaTl2Ni | the Alexandria database | GGA-PBE | relaxed
# Energy relative to the elements, meV per atom: -81
# Fermi-level density of states, states/eV/f.u.: 1.94
# Energy, eV per atom: -3.19
# Magnetization, μB per cell: 0.0
data_BaTl2Ni
_cell_length_a 5.9184
_cell_length_b 9.4039
_cell_length_c 4.2685
_cell_angle_alpha 90.00
_cell_angle_beta 90.00
_cell_angle_gamma 90.00
_symmetry_space_group_name_H-M 'C m m m'
_symmetry_Int_Tables_number 65
_symmetry_space_group_name_Hall '-C 2 2'
loop_
_atom_site_label
_atom_site_type_symbol
_atom_site_fract_x
_atom_site_fract_y
_atom_site_fract_z
_atom_site_occupancy
Ba1 Ba 0.0000 0.0000 0.0000 1
Tl1 Tl 0.0000 0.3267 0.5000 1
Ni1 Ni 0.0000 0.5000 0.0000 1


(9)
# Ba2TlNi | the Alexandria database | GGA-PBE | relaxed
# Energy relative to the elements, meV per atom: -29
# Fermi-level density of states, states/eV/f.u.: 2.98
# Energy, eV per atom: -3.03
# Magnetization, μB per cell: 0.0
data_Ba2TlNi
_cell_length_a 3.9738
_cell_length_b 5.7846
_cell_length_c 11.4296
_cell_angle_alpha 90.00
_cell_angle_beta 90.00
_cell_angle_gamma 90.00
_symmetry_space_group_name_H-M 'I m m 2'
_symmetry_Int_Tables_number 44
_symmetry_space_group_name_Hall 'I 2 -2'
loop_
_atom_site_label
_atom_site_type_symbol
_atom_site_fract_x
_atom_site_fract_y
_atom_site_fract_z
_atom_site_occupancy
Ba1 Ba 0.0000 0.0000 0.0000 1
Ba2 Ba 0.0000 0.5000 0.1848 1
Tl1 Tl 0.0000 0.0000 0.3872 1
Ni1 Ni 0.0000 0.5000 0.7350 1


(10)
# Ba2TlNi | the Alexandria database | GGA-PBE | relaxed
# Energy relative to the elements, meV per atom: 184
# Fermi-level density of states, states/eV/f.u.: 2.74
# Energy, eV per atom: -2.81
# Magnetization, μB per cell: 0.0
data_Ba2TlNi
_cell_length_a 4.5598
_cell_length_b 4.5598
_cell_length_c 7.6786
_cell_angle_alpha 90.00
_cell_angle_beta 90.00
_cell_angle_gamma 90.00
_symmetry_space_group_name_H-M 'P 4 m m'
_symmetry_Int_Tables_number 99
_symmetry_space_group_name_Hall 'P 4 -2'
loop_
_atom_site_label
_atom_site_type_symbol
_atom_site_fract_x
_atom_site_fract_y
_atom_site_fract_z
_atom_site_occupancy
Ba1 Ba 0.0000 0.0000 0.0000 1
Ba2 Ba 0.5000 0.5000 0.3748 1
Tl1 Tl 0.5000 0.5000 0.8220 1
Ni1 Ni 0.0000 0.0000 0.3999 1


(11)
# Ba2Tl4Ni | the Alexandria database | GGA-PBE | relaxed
# Energy relative to the elements, meV per atom: -184
# Fermi-level density of states, states/eV/f.u.: 5.97
# Energy, eV per atom: -2.91
# Magnetization, μB per cell: 0.0
data_Ba2Tl4Ni
_cell_length_a 5.1325
_cell_length_b 5.1325
_cell_length_c 18.2652
_cell_angle_alpha 90.00
_cell_angle_beta 90.00
_cell_angle_gamma 90.00
_symmetry_space_group_name_H-M 'I 4/m m m'
_symmetry_Int_Tables_number 139
_symmetry_space_group_name_Hall '-I 4 2'
loop_
_atom_site_label
_atom_site_type_symbol
_atom_site_fract_x
_atom_site_fract_y
_atom_site_fract_z
_atom_site_occupancy
Ba1 Ba 0.0000 0.0000 0.1572 1
Tl1 Tl 0.0000 0.0000 0.3536 1
Tl2 Tl 0.0000 0.5000 0.0000 1
Ni1 Ni 0.0000 0.0000 0.5000 1


(12)
# BaTl2Ni2 | the Alexandria database | GGA-PBE | relaxed
# Energy relative to the elements, meV per atom: -3
# Fermi-level density of states, states/eV/f.u.: 3.54
# Energy, eV per atom: -3.65
# Magnetization, μB per cell: 0.0
data_BaTl2Ni2
_cell_length_a 4.8139
_cell_length_b 4.8139
_cell_length_c 10.7097
_cell_angle_alpha 90.00
_cell_angle_beta 90.00
_cell_angle_gamma 90.00
_symmetry_space_group_name_H-M 'I 4/m m m'
_symmetry_Int_Tables_number 139
_symmetry_space_group_name_Hall '-I 4 2'
loop_
_atom_site_label
_atom_site_type_symbol
_atom_site_fract_x
_atom_site_fract_y
_atom_site_fract_z
_atom_site_occupancy
Ba1 Ba 0.0000 0.0000 0.0000 1
Tl1 Tl 0.0000 0.0000 0.3488 1
Ni1 Ni 0.0000 0.5000 0.2500 1


(13)
# BaTl2Ni | the Alexandria database | GGA-PBE | relaxed
# Energy relative to the elements, meV per atom: 18
# Fermi-level density of states, states/eV/f.u.: 1.96
# Energy, eV per atom: -3.09
# Magnetization, μB per cell: 0.0
data_BaTl2Ni
_cell_length_a 5.1293
_cell_length_b 5.9361
_cell_length_c 8.5787
_cell_angle_alpha 90.00
_cell_angle_beta 90.00
_cell_angle_gamma 90.00
_symmetry_space_group_name_H-M 'I m m 2'
_symmetry_Int_Tables_number 44
_symmetry_space_group_name_Hall 'I 2 -2'
loop_
_atom_site_label
_atom_site_type_symbol
_atom_site_fract_x
_atom_site_fract_y
_atom_site_fract_z
_atom_site_occupancy
Ba1 Ba 0.0000 0.0000 0.0000 1
Tl1 Tl 0.0000 0.0000 0.5702 1
Tl2 Tl 0.0000 0.5000 0.7801 1
Ni1 Ni 0.0000 0.5000 0.0823 1


(14)
# Ba2TlNi | the Alexandria database | GGA-PBE | relaxed
# Energy relative to the elements, meV per atom: -86
# Fermi-level density of states, states/eV/f.u.: 4.03
# Energy, eV per atom: -3.08
# Magnetization, μB per cell: 0.0
data_Ba2TlNi
_cell_length_a 4.8509
_cell_length_b 4.8521
_cell_length_c 6.7363
_cell_angle_alpha 90.00
_cell_angle_beta 111.09
_cell_angle_gamma 90.00
_symmetry_space_group_name_H-M 'P 1 m 1'
_symmetry_Int_Tables_number 6
_symmetry_space_group_name_Hall 'P -2y'
loop_
_atom_site_label
_atom_site_type_symbol
_atom_site_fract_x
_atom_site_fract_y
_atom_site_fract_z
_atom_site_occupancy
Ba1 Ba 0.0000 0.0000 0.0000 1
Ba2 Ba 0.2800 0.5000 0.5592 1
Tl1 Tl 0.6992 0.0000 0.3979 1
Ni1 Ni 0.6056 0.5000 0.2071 1